(1)
BeTlAu2: optimized geometry, PBE.

a = 3.845 Å, b = 3.845 Å, c = 6.329 Å
α = 82.63°, β = 82.63°, γ = 60.55°
Element x y z (fractional)
Tl (0.315, 0.315, 0.243)
Au (0.039, 0.039, 0.906)
Au (0.751, 0.751, 0.602)
Be (0.395, 0.395, 0.749)

## Properties
- total moment (μB/f.u.) = 0.00
- VASP energy (eV/atom) = -3.15
- formation energy (meV per atom) = 15

---

(2)
CsNa2Ca2: optimized geometry, PBE.

a = 11.151 Å, b = 11.151 Å, c = 3.991 Å
α = 90.00°, β = 90.00°, γ = 90.00°
Element x y z (fractional)
Ca (0.122, 0.622, 0.500)
Ca (0.878, 0.378, 0.500)
Ca (0.378, 0.122, 0.500)
Ca (0.622, 0.878, 0.500)
Na (0.667, 0.167, 0.000)
Na (0.333, 0.833, 0.000)
Na (0.833, 0.667, 0.000)
Na (0.167, 0.333, 0.000)
Cs (0.000, 0.000, 0.000)
Cs (0.500, 0.500, 0.000)

## Properties
- total moment (μB/f.u.) = 0.00
- VASP energy (eV/atom) = -1.36
- formation energy (meV per atom) = 139

---

(3)
SrZnGa: optimized geometry, PBE.

a = 4.675 Å, b = 6.038 Å, c = 6.038 Å
α = 83.58°, β = 67.22°, γ = 67.22°
Element x y z (fractional)
Zn (0.703, 0.610, 0.985)
Zn (0.297, 0.015, 0.390)
Sr (0.000, 0.607, 0.393)
Sr (0.500, 0.189, 0.811)
Ga (0.188, 0.792, 0.833)
Ga (0.812, 0.167, 0.208)

## Properties
- total moment (μB/f.u.) = 0.00
- VASP energy (eV/atom) = -2.38
- formation energy (meV per atom) = -383

---

(4)
Ti2TlCl2: optimized geometry, PBE.

a = 4.143 Å, b = 4.143 Å, c = 6.492 Å
α = 71.40°, β = 71.40°, γ = 90.00°
Element x y z (fractional)
Cl (0.750, 0.250, 0.500)
Cl (0.250, 0.750, 0.500)
Ti (0.613, 0.613, 0.775)
Ti (0.387, 0.387, 0.225)
Tl (0.000, 0.000, 0.000)

## Properties
- formation energy from raw total energies (eV per atom) = -0.3740
- total moment (μB/f.u.) = 0.01
- VASP energy (eV/atom) = -4.74

---

Please write out number 1 again, unchanged.
BeTlAu2: optimized geometry, PBE.

a = 3.845 Å, b = 3.845 Å, c = 6.329 Å
α = 82.63°, β = 82.63°, γ = 60.55°
Element x y z (fractional)
Tl (0.315, 0.315, 0.243)
Au (0.039, 0.039, 0.906)
Au (0.751, 0.751, 0.602)
Be (0.395, 0.395, 0.749)

## Properties
- total moment (μB/f.u.) = 0.00
- VASP energy (eV/atom) = -3.15
- formation energy (meV per atom) = 15